No. 1
Density functional theory data (GGA-PBE) for a geometry-optimized ThNpNi2P2 structure. Values from VASP.

Computed properties:
Magnetic moment: 4.0 Bohr magnetons per cell
Energy: -8.08 eV per atom
DFT formation energy: -0.9578 eV/atom

```
&SYSTEM
  ibrav = 0, nat = 6, ntyp = 4
/
ATOMIC_SPECIES
Th 232.04 Th.upf
Np 237.00 Np.upf
Ni 58.69 Ni.upf
P 30.97 P.upf
CELL_PARAMETERS angstrom
-0.817 -3.030 2.361
2.738 -0.369 -2.791
5.543 2.486 5.109
ATOMIC_POSITIONS crystal
Th 0.000 0.000 0.000
Np 0.000 0.000 0.500
Ni 0.667 0.333 0.248
Ni 0.333 0.667 0.752
P 0.667 0.333 0.736
P 0.333 0.667 0.264
```

***

No. 2
Density functional theory data (GGA-PBE) for a geometry-optimized NpTi2NiP4 structure. Values from VASP.

Computed properties:
Magnetic moment: 5.8 Bohr magnetons per cell
Energy: -7.89 eV per atom
DFT formation energy: -0.8696 eV/atom

```
&SYSTEM
  ibrav = 0, nat = 16, ntyp = 4
/
ATOMIC_SPECIES
Np 237.00 Np.upf
Ti 47.87 Ti.upf
Ni 58.69 Ni.upf
P 30.97 P.upf
CELL_PARAMETERS angstrom
3.626 0.000 0.000
-1.813 5.966 0.000
0.000 0.000 12.263
ATOMIC_POSITIONS crystal
Np 0.120 0.239 0.750
Np 0.880 0.761 0.250
Ti 0.369 0.738 0.561
Ti 0.631 0.262 0.061
Ti 0.631 0.262 0.439
Ti 0.369 0.738 0.939
Ni 0.851 0.703 0.750
Ni 0.149 0.297 0.250
P 0.271 0.541 0.116
P 0.729 0.459 0.616
P 0.729 0.459 0.884
P 0.271 0.541 0.384
P 0.000 0.000 0.500
P 0.000 0.000 0.000
P 0.452 0.905 0.750
P 0.548 0.095 0.250
```

***

No. 3
Density functional theory data (GGA-PBE) for a geometry-optimized NpVNiP2 structure. Values from VASP.

Computed properties:
Magnetic moment: 5.4 Bohr magnetons per cell
Energy: -8.42 eV per atom
DFT formation energy: -0.6906 eV/atom

```
&SYSTEM
  ibrav = 0, nat = 5, ntyp = 4
/
ATOMIC_SPECIES
Np 237.00 Np.upf
V 50.94 V.upf
Ni 58.69 Ni.upf
P 30.97 P.upf
CELL_PARAMETERS angstrom
3.783 0.000 0.000
0.000 3.783 0.000
-1.891 -1.891 5.352
ATOMIC_POSITIONS crystal
Np 0.000 0.000 0.000
V 0.750 0.250 0.500
Ni 0.250 0.750 0.500
P 0.624 0.624 0.247
P 0.376 0.376 0.753
```

***

No. 4
Density functional theory data (GGA-PBE) for a geometry-optimized NpNiP2W structure. Values from VASP.

Computed properties:
Magnetic moment: 4.0 Bohr magnetons per cell
Energy: -8.94 eV per atom
DFT formation energy: -0.4416 eV/atom

```
&SYSTEM
  ibrav = 0, nat = 5, ntyp = 4
/
ATOMIC_SPECIES
Np 237.00 Np.upf
Ni 58.69 Ni.upf
P 30.97 P.upf
W 183.84 W.upf
CELL_PARAMETERS angstrom
3.830 0.000 0.000
0.000 3.830 0.000
-1.915 -1.915 5.438
ATOMIC_POSITIONS crystal
Np 0.000 0.000 0.000
Ni 0.250 0.750 0.500
P 0.621 0.621 0.243
P 0.379 0.379 0.757
W 0.750 0.250 0.500
```

***

No. 5
Density functional theory data (GGA-PBE) for a geometry-optimized Np2ZnNi4P3 structure. Values from VASP.

Computed properties:
Magnetic moment: 7.0 Bohr magnetons per cell
Energy: -7.25 eV per atom
DFT formation energy: -0.5969 eV/atom

```
&SYSTEM
  ibrav = 0, nat = 10, ntyp = 4
/
ATOMIC_SPECIES
Np 237.00 Np.upf
Zn 65.41 Zn.upf
Ni 58.69 Ni.upf
P 30.97 P.upf
CELL_PARAMETERS angstrom
3.908 0.000 0.000
0.000 3.908 0.000
0.000 0.000 9.558
ATOMIC_POSITIONS crystal
Np 0.500 0.000 0.244
Np 0.000 0.500 0.756
Zn 0.500 0.500 0.500
Ni 0.500 0.500 0.000
Ni 0.000 0.000 0.000
Ni 0.500 0.000 0.636
Ni 0.000 0.500 0.364
P 0.000 0.000 0.500
P 0.500 0.000 0.868
P 0.000 0.500 0.132
```

***

No. 6
Density functional theory data (GGA-PBE) for a geometry-optimized NpPaNi4 structure. Values from VASP.

Computed properties:
Magnetic moment: 4.9 Bohr magnetons per cell
Energy: -7.86 eV per atom
DFT formation energy: -0.2616 eV/atom

```
&SYSTEM
  ibrav = 0, nat = 6, ntyp = 3
/
ATOMIC_SPECIES
Np 237.00 Np.upf
Ni 58.69 Ni.upf
Pa 231.04 Pa.upf
CELL_PARAMETERS angstrom
-3.225 -3.191 2.147
1.690 -4.208 2.152
-0.105 -0.481 4.995
ATOMIC_POSITIONS crystal
Np 0.250 0.250 0.250
Ni 0.625 0.625 0.126
Ni 0.625 0.126 0.625
Ni 0.625 0.625 0.625
Ni 0.126 0.625 0.625
Pa 0.000 0.000 0.000
```